This record from Alexandria via LeMat-Bulk describes Na2Pb3 after structural relaxation. The functional is PBE-GGA.

## Properties
DFT formation energy ... -114 meV per atom
Fermi-level density of states ... 0.38 states/eV per atom
Symmetry ... Fdd2
Total DFT energy (no corrections) ... -2.87 eV/atom
V ... 302.15 Å³/cell

Structure (POSCAR):
```
Na2Pb3
1.0
0.000 8.237 3.193
5.745 0.000 3.193
5.745 8.237 0.000
Na Pb
4 6
Direct
0.013 0.487 0.090 Na
0.160 0.840 0.237 Na
0.487 0.013 0.410 Na
0.840 0.160 0.763 Na
0.102 0.102 0.898 Pb
0.352 0.352 0.148 Pb
0.461 0.578 0.333 Pb
0.578 0.461 0.628 Pb
0.622 0.917 0.672 Pb
0.917 0.622 0.789 Pb
```